# 1
# Th2Si4GeRh3 | the Alexandria database | PBE | optimized geometry
data_Th2Si4GeRh3
_chemical_formula_sum 'Th2 Si4 Ge1 Rh3'
_space_group_name_H-M_alt 'P 1'
_space_group_IT_number 1
_space_group_name_Hall 'P 1'
_cell_length_a 4.265
_cell_length_b 4.265
_cell_length_c 9.768
_cell_angle_alpha 90.00
_cell_angle_beta 90.00
_cell_angle_gamma 90.00
loop_
_atom_site_label
_atom_site_type_symbol
_atom_site_fract_x
_atom_site_fract_y
_atom_site_fract_z
Rh1 Rh 0.000 0.500 0.121
Rh2 Rh 0.500 0.000 0.879
Rh3 Rh 0.000 0.000 0.500
Si1 Si 0.500 0.000 0.637
Si2 Si 0.000 0.500 0.363
Si3 Si 0.000 0.000 0.000
Si4 Si 0.500 0.500 0.000
Th1 Th 0.000 0.500 0.754
Th2 Th 0.500 0.000 0.246
Ge1 Ge 0.500 0.500 0.500
# * formation energy (no corrections): -904 meV/atom

***

# 2
# Mg2NbSi2Ir5 | the Alexandria database | PBE | optimized geometry
data_Mg2NbSi2Ir5
_chemical_formula_sum 'Mg4 Nb2 Si4 Ir10'
_space_group_name_H-M_alt 'P 1'
_space_group_IT_number 1
_space_group_name_Hall 'P 1'
_cell_length_a 3.523
_cell_length_b 9.416
_cell_length_c 9.416
_cell_angle_alpha 90.00
_cell_angle_beta 90.00
_cell_angle_gamma 90.00
loop_
_atom_site_label
_atom_site_type_symbol
_atom_site_fract_x
_atom_site_fract_y
_atom_site_fract_z
Si1 Si 0.000 0.625 0.875
Si2 Si 0.000 0.875 0.375
Si3 Si 0.000 0.125 0.625
Si4 Si 0.000 0.375 0.125
Ir1 Ir 0.500 0.500 0.000
Ir2 Ir 0.500 0.573 0.707
Ir3 Ir 0.500 0.707 0.427
Ir4 Ir 0.500 0.427 0.293
Ir5 Ir 0.500 0.073 0.793
Ir6 Ir 0.500 0.000 0.500
Ir7 Ir 0.500 0.793 0.927
Ir8 Ir 0.500 0.927 0.207
Ir9 Ir 0.500 0.293 0.573
Ir10 Ir 0.500 0.207 0.073
Mg1 Mg 0.000 0.827 0.673
Mg2 Mg 0.000 0.327 0.827
Mg3 Mg 0.000 0.173 0.327
Mg4 Mg 0.000 0.673 0.173
Nb1 Nb 0.000 0.500 0.500
Nb2 Nb 0.000 0.000 0.000
# * formation energy (no corrections): -527 meV/atom

***

# 3
# Nd4SiSeBr2 | the Alexandria database | PBE | optimized geometry
data_Nd4SiSeBr2
_chemical_formula_sum 'Nd4 Si1 Se1 Br2'
_space_group_name_H-M_alt 'P 1'
_space_group_IT_number 1
_space_group_name_Hall 'P 1'
_cell_length_a 4.282
_cell_length_b 7.403
_cell_length_c 7.635
_cell_angle_alpha 109.13
_cell_angle_beta 90.00
_cell_angle_gamma 90.00
loop_
_atom_site_label
_atom_site_type_symbol
_atom_site_fract_x
_atom_site_fract_y
_atom_site_fract_z
Nd1 Nd 0.000 0.726 0.210
Nd2 Nd 0.500 0.750 0.790
Nd3 Nd 0.500 0.250 0.210
Nd4 Nd 0.000 0.274 0.790
Se1 Se 0.000 0.000 0.000
Si1 Si 0.500 0.500 0.000
Br1 Br 0.500 0.000 0.500
Br2 Br 0.000 0.500 0.500
# * formation energy (no corrections): -1312 meV/atom

***

# 4
Material: BeNb2B4
Method: DFT, PBE
State: optimized geometry

The structure in CIF format:
```
data_BeNb2B4
_chemical_formula_sum 'Be1 Nb2 B4'
_space_group_name_H-M_alt 'P 1'
_space_group_IT_number 1
_space_group_name_Hall 'P 1'
_cell_length_a 3.509
_cell_length_b 3.509
_cell_length_c 6.284
_cell_angle_alpha 73.79
_cell_angle_beta 73.79
_cell_angle_gamma 90.00
loop_
_atom_site_label
_atom_site_type_symbol
_atom_site_fract_x
_atom_site_fract_y
_atom_site_fract_z
B1 B 0.000 0.500 0.000
B2 B 0.834 0.834 0.332
B3 B 0.500 0.000 0.000
B4 B 0.166 0.166 0.668
Nb1 Nb 0.358 0.358 0.284
Nb2 Nb 0.642 0.642 0.716
Be1 Be 0.000 0.000 0.000
```

***

# 5
# BaTmBi2 | the Alexandria database | PBE | optimized geometry
data_BaTmBi2
_chemical_formula_sum 'Ba1 Tm1 Bi2'
_space_group_name_H-M_alt 'P 1'
_space_group_IT_number 1
_space_group_name_Hall 'P 1'
_cell_length_a 3.927
_cell_length_b 3.927
_cell_length_c 8.773
_cell_angle_alpha 90.00
_cell_angle_beta 90.00
_cell_angle_gamma 90.00
loop_
_atom_site_label
_atom_site_type_symbol
_atom_site_fract_x
_atom_site_fract_y
_atom_site_fract_z
Bi1 Bi 0.000 0.000 0.214
Bi2 Bi 0.000 0.000 0.786
Tm1 Tm 0.500 0.500 0.000
Ba1 Ba 0.500 0.500 0.500
# * E above lowest polymorph: 0.082 eV per atom

***

# 6
# Ce3SmO4 | the Alexandria database | PBE | optimized geometry
data_Ce3SmO4
_chemical_formula_sum 'Ce6 Sm2 O8'
_space_group_name_H-M_alt 'P 1'
_space_group_IT_number 1
_space_group_name_Hall 'P 1'
_cell_length_a 6.086
_cell_length_b 6.095
_cell_length_c 7.052
_cell_angle_alpha 90.00
_cell_angle_beta 90.00
_cell_angle_gamma 109.59
loop_
_atom_site_label
_atom_site_type_symbol
_atom_site_fract_x
_atom_site_fract_y
_atom_site_fract_z
Sm1 Sm 0.250 0.000 0.126
Sm2 Sm 0.750 0.000 0.874
Ce1 Ce 0.750 0.500 0.624
Ce2 Ce 0.750 0.000 0.376
Ce3 Ce 0.750 0.500 0.126
Ce4 Ce 0.250 0.000 0.624
Ce5 Ce 0.250 0.500 0.874
Ce6 Ce 0.250 0.500 0.376
O1 O 0.502 0.753 0.628
O2 O 0.001 0.754 0.877
O3 O 0.998 0.247 0.628
O4 O 0.498 0.247 0.372
O5 O 0.999 0.246 0.123
O6 O 0.499 0.246 0.877
O7 O 0.501 0.754 0.123
O8 O 0.002 0.753 0.372
# * formation energy (no corrections): -2850 meV/atom

***

Record-wise total magnetization values, in μB/cell: 0.000, 0.000, 0.000, 0.000, 0.000, 0.000
Record-wise DFT total energy values, in eV/atom: -7.225, -7.368, -5.228, -6.776, -4.194, -8.144